1.
# CeTh3N6

Crystalline CeTh3N6 at its relaxed geometry (PBE-GGA, Alexandria).

Results
- formation energy without anion corrections (eV per atom) = -1.2196
- space group = No. 146
- size of the total moment (μB/f.u.) = 0.000

Structure (CIF):
```
data_CeTh3N6
_chemical_formula_sum 'Ce1 Th3 N6'
_space_group_name_H-M_alt 'P 1'
_space_group_IT_number 1
_space_group_name_Hall 'P 1'
_cell_length_a 6.212
_cell_length_b 6.212
_cell_length_c 6.212
_cell_angle_alpha 59.77
_cell_angle_beta 59.77
_cell_angle_gamma 59.77
loop_
_atom_site_label
_atom_site_fract_x
_atom_site_fract_y
_atom_site_fract_z
Ce1 0.000 0.000 0.000
Th1 0.272 0.272 0.272
Th2 0.502 0.502 0.502
Th3 0.772 0.772 0.772
N1 0.108 0.379 0.675
N2 0.169 0.885 0.611
N3 0.379 0.675 0.108
N4 0.611 0.169 0.885
N5 0.675 0.108 0.379
N6 0.885 0.611 0.169
```

2.
# In17Hg11Bi

Crystalline In17Hg11Bi at its relaxed geometry (PBE-GGA, Alexandria).

Results
- DFT formation energy (meV/atom) = 28
- space group = No. 8
- size of the total moment (μB/f.u.) = 0.000

Structure (CIF):
```
data_In17Hg11Bi
_chemical_formula_sum 'In17 Hg11 Bi1'
_space_group_name_H-M_alt 'P 1'
_space_group_IT_number 1
_space_group_name_Hall 'P 1'
_cell_length_a 9.843
_cell_length_b 9.843
_cell_length_c 8.727
_cell_angle_alpha 95.56
_cell_angle_beta 95.56
_cell_angle_gamma 103.38
loop_
_atom_site_label
_atom_site_fract_x
_atom_site_fract_y
_atom_site_fract_z
In1 0.000 0.000 0.000
In2 0.025 0.025 0.591
In3 0.138 0.506 0.773
In4 0.191 0.779 0.045
In5 0.230 0.230 0.871
In6 0.230 0.601 0.432
In7 0.338 0.338 0.224
In8 0.465 0.897 0.463
In9 0.474 0.719 0.835
In10 0.506 0.138 0.773
In11 0.601 0.230 0.432
In12 0.650 0.650 0.471
In13 0.719 0.474 0.835
In14 0.763 0.986 0.326
In15 0.779 0.191 0.045
In16 0.897 0.465 0.463
In17 0.986 0.763 0.326
Hg1 0.025 0.473 0.093
Hg2 0.038 0.240 0.332
Hg3 0.240 0.038 0.332
Hg4 0.249 0.873 0.709
Hg5 0.436 0.655 0.169
Hg6 0.473 0.025 0.093
Hg7 0.655 0.436 0.169
Hg8 0.722 0.930 0.731
Hg9 0.751 0.751 0.061
Hg10 0.873 0.249 0.709
Hg11 0.930 0.722 0.731
Bi1 0.416 0.416 0.621
```

3.
# TbPrEr2Tl4

Crystalline TbPrEr2Tl4 at its relaxed geometry (PBE-GGA, Alexandria).

Results
- DFT formation energy (meV/atom) = -337
- space group = No. 166
- size of the total moment (μB/f.u.) = 0.000

Structure (CIF):
```
data_TbPrEr2Tl4
_chemical_formula_sum 'Tb1 Pr1 Er2 Tl4'
_space_group_name_H-M_alt 'P 1'
_space_group_IT_number 1
_space_group_name_Hall 'P 1'
_cell_length_a 9.383
_cell_length_b 9.383
_cell_length_c 9.383
_cell_angle_alpha 33.45
_cell_angle_beta 33.45
_cell_angle_gamma 33.45
loop_
_atom_site_label
_atom_site_fract_x
_atom_site_fract_y
_atom_site_fract_z
Tb1 0.000 0.000 0.000
Pr1 0.500 0.500 0.500
Er1 0.250 0.250 0.250
Er2 0.750 0.750 0.750
Tl1 0.123 0.123 0.123
Tl2 0.373 0.373 0.373
Tl3 0.627 0.627 0.627
Tl4 0.877 0.877 0.877
```

4.
# CdHg2Br

Crystalline CdHg2Br at its relaxed geometry (PBE-GGA, Alexandria).

Results
- formation energy without anion corrections (eV per atom) = -0.1660
- space group = No. 44
- energy above the most stable polymorph in this dataset (eV per formula unit) = 0.120
- size of the total moment (μB/f.u.) = 0.000

Structure (CIF):
```
data_CdHg2Br
_chemical_formula_sum 'Cd1 Hg2 Br1'
_space_group_name_H-M_alt 'P 1'
_space_group_IT_number 1
_space_group_name_Hall 'P 1'
_cell_length_a 5.964
_cell_length_b 5.964
_cell_length_c 5.964
_cell_angle_alpha 140.07
_cell_angle_beta 114.17
_cell_angle_gamma 79.85
loop_
_atom_site_label
_atom_site_fract_x
_atom_site_fract_y
_atom_site_fract_z
Cd1 0.000 0.000 0.000
Hg1 0.518 0.518 0.000
Hg2 0.770 0.270 0.500
Br1 0.219 0.719 0.500
```

5.
# Li2Dy2ErIn2

Crystalline Li2Dy2ErIn2 at its relaxed geometry (PBE-GGA, Alexandria).

Results
- DFT formation energy (meV/atom) = -217
- space group = No. 166
- size of the total moment (μB/f.u.) = 0.000

Structure (CIF):
```
data_Li2Dy2ErIn2
_chemical_formula_sum 'Li2 Dy2 Er1 In2'
_space_group_name_H-M_alt 'P 1'
_space_group_IT_number 1
_space_group_name_Hall 'P 1'
_cell_length_a 9.230
_cell_length_b 9.230
_cell_length_c 9.230
_cell_angle_alpha 30.33
_cell_angle_beta 30.33
_cell_angle_gamma 30.33
loop_
_atom_site_label
_atom_site_fract_x
_atom_site_fract_y
_atom_site_fract_z
Li1 0.106 0.106 0.106
Li2 0.894 0.894 0.894
Dy1 0.373 0.373 0.373
Dy2 0.627 0.627 0.627
Er1 0.500 0.500 0.500
In1 0.237 0.237 0.237
In2 0.763 0.763 0.763
```

6.
# Nd2UTl2Se6

Crystalline Nd2UTl2Se6 at its relaxed geometry (PBE-GGA, Alexandria).

Results
- formation energy without anion corrections (eV per atom) = -1.3063
- space group = No. 12
- size of the total moment (μB/f.u.) = 2.000

Structure (CIF):
```
data_Nd2UTl2Se6
_chemical_formula_sum 'Nd2 U1 Tl2 Se6'
_space_group_name_H-M_alt 'P 1'
_space_group_IT_number 1
_space_group_name_Hall 'P 1'
_cell_length_a 7.381
_cell_length_b 7.381
_cell_length_c 8.170
_cell_angle_alpha 98.92
_cell_angle_beta 98.92
_cell_angle_gamma 119.98
loop_
_atom_site_label
_atom_site_fract_x
_atom_site_fract_y
_atom_site_fract_z
Nd1 0.167 0.833 0.000
Nd2 0.833 0.167 0.000
U1 0.500 0.500 0.000
Tl1 0.331 0.669 0.500
Tl2 0.669 0.331 0.500
Se1 0.110 0.431 0.795
Se2 0.253 0.253 0.206
Se3 0.431 0.110 0.795
Se4 0.569 0.890 0.205
Se5 0.747 0.747 0.794
Se6 0.890 0.569 0.205
```

7.
# CaSi2Ir

Crystalline CaSi2Ir at its relaxed geometry (PBE-GGA, Alexandria).

Results
- formation energy without anion corrections (eV per atom) = -0.3941
- space group = No. 141
- size of the total moment (μB/f.u.) = 0.000

Structure (CIF):
```
data_CaSi2Ir
_chemical_formula_sum 'Ca2 Si4 Ir2'
_space_group_name_H-M_alt 'P 1'
_space_group_IT_number 1
_space_group_name_Hall 'P 1'
_cell_length_a 8.622
_cell_length_b 8.622
_cell_length_c 8.622
_cell_angle_alpha 147.74
_cell_angle_beta 147.74
_cell_angle_gamma 46.27
loop_
_atom_site_label
_atom_site_fract_x
_atom_site_fract_y
_atom_site_fract_z
Ca1 0.375 0.625 0.750
Ca2 0.625 0.375 0.250
Si1 0.000 0.000 0.000
Si2 0.000 0.000 0.500
Si3 0.000 0.500 0.000
Si4 0.500 0.000 0.500
Ir1 0.125 0.875 0.250
Ir2 0.875 0.125 0.750
```

8.
# Sn2Pb5N6

Crystalline Sn2Pb5N6 at its relaxed geometry (PBE-GGA, Alexandria).

Results
- formation energy without anion corrections (eV per atom) = 0.5162
- space group = No. 15
- size of the total moment (μB/f.u.) = 0.000

Structure (CIF):
```
data_Sn2Pb5N6
_chemical_formula_sum 'Sn4 Pb10 N12'
_space_group_name_H-M_alt 'P 1'
_space_group_IT_number 1
_space_group_name_Hall 'P 1'
_cell_length_a 6.386
_cell_length_b 6.386
_cell_length_c 14.567
_cell_angle_alpha 96.56
_cell_angle_beta 96.56
_cell_angle_gamma 68.15
loop_
_atom_site_label
_atom_site_fract_x
_atom_site_fract_y
_atom_site_fract_z
Sn1 0.107 0.372 0.414
Sn2 0.372 0.107 0.914
Sn3 0.628 0.893 0.086
Sn4 0.893 0.628 0.586
Pb1 0.116 0.124 0.686
Pb2 0.124 0.116 0.186
Pb3 0.213 0.634 0.039
Pb4 0.366 0.787 0.461
Pb5 0.475 0.525 0.750
Pb6 0.525 0.475 0.250
Pb7 0.634 0.213 0.539
Pb8 0.787 0.366 0.961
Pb9 0.876 0.884 0.814
Pb10 0.884 0.876 0.314
N1 0.054 0.166 0.850
N2 0.166 0.054 0.350
N3 0.225 0.398 0.556
N4 0.226 0.572 0.343
N5 0.398 0.225 0.056
N6 0.428 0.774 0.157
N7 0.572 0.226 0.843
N8 0.602 0.775 0.944
N9 0.774 0.428 0.657
N10 0.775 0.602 0.444
N11 0.834 0.946 0.650
N12 0.946 0.834 0.150
```

9.
# PaMnGe3Mo

Crystalline PaMnGe3Mo at its relaxed geometry (PBE-GGA, Alexandria).

Results
- DFT formation energy (meV/atom) = 41
- space group = No. 63
- size of the total moment (μB/f.u.) = 0.000

Structure (CIF):
```
data_PaMnGe3Mo
_chemical_formula_sum 'Pa2 Mn2 Ge6 Mo2'
_space_group_name_H-M_alt 'P 1'
_space_group_IT_number 1
_space_group_name_Hall 'P 1'
_cell_length_a 6.414
_cell_length_b 6.414
_cell_length_c 5.678
_cell_angle_alpha 90.00
_cell_angle_beta 90.00
_cell_angle_gamma 103.37
loop_
_atom_site_label
_atom_site_fract_x
_atom_site_fract_y
_atom_site_fract_z
Pa1 0.220 0.780 0.750
Pa2 0.780 0.220 0.250
Mn1 0.438 0.562 0.750
Mn2 0.562 0.438 0.250
Ge1 0.255 0.255 0.000
Ge2 0.255 0.255 0.500
Ge3 0.320 0.680 0.250
Ge4 0.680 0.320 0.750
Ge5 0.745 0.745 0.000
Ge6 0.745 0.745 0.500
Mo1 0.074 0.926 0.250
Mo2 0.926 0.074 0.750
```

10.
# Nd2Sn4IrRh3

Crystalline Nd2Sn4IrRh3 at its relaxed geometry (PBE-GGA, Alexandria).

Results
- DFT formation energy (meV/atom) = -671
- space group = No. 115
- size of the total moment (μB/f.u.) = 0.000

Structure (CIF):
```
data_Nd2Sn4IrRh3
_chemical_formula_sum 'Nd2 Sn4 Ir1 Rh3'
_space_group_name_H-M_alt 'P 1'
_space_group_IT_number 1
_space_group_name_Hall 'P 1'
_cell_length_a 4.496
_cell_length_b 4.496
_cell_length_c 10.771
_cell_angle_alpha 90.00
_cell_angle_beta 90.00
_cell_angle_gamma 90.00
loop_
_atom_site_label
_atom_site_fract_x
_atom_site_fract_y
_atom_site_fract_z
Nd1 0.000 0.500 0.247
Nd2 0.500 0.000 0.753
Sn1 0.000 0.000 0.500
Sn2 0.000 0.500 0.869
Sn3 0.500 0.000 0.131
Sn4 0.500 0.500 0.500
Ir1 0.500 0.500 0.000
Rh1 0.000 0.000 0.000
Rh2 0.000 0.500 0.631
Rh3 0.500 0.000 0.369
```

11.
# TbPm2Pd2

Crystalline TbPm2Pd2 at its relaxed geometry (PBE-GGA, Alexandria).

Results
- DFT formation energy (meV/atom) = -668
- space group = No. 12
- energy above the most stable polymorph in this dataset (eV per formula unit) = 0.015
- size of the total moment (μB/f.u.) = 0.000

Structure (CIF):
```
data_TbPm2Pd2
_chemical_formula_sum 'Tb2 Pm4 Pd4'
_space_group_name_H-M_alt 'P 1'
_space_group_IT_number 1
_space_group_name_Hall 'P 1'
_cell_length_a 6.830
_cell_length_b 6.830
_cell_length_c 11.438
_cell_angle_alpha 117.59
_cell_angle_beta 117.59
_cell_angle_gamma 33.80
loop_
_atom_site_label
_atom_site_fract_x
_atom_site_fract_y
_atom_site_fract_z
Tb1 0.202 0.202 0.355
Tb2 0.798 0.798 0.645
Pm1 0.328 0.328 0.923
Pm2 0.452 0.452 0.302
Pm3 0.548 0.548 0.698
Pm4 0.672 0.672 0.077
Pd1 0.018 0.018 0.884
Pd2 0.122 0.122 0.554
Pd3 0.878 0.878 0.446
Pd4 0.982 0.982 0.116
```

12.
# UInGaAu

Crystalline UInGaAu at its relaxed geometry (PBE-GGA, Alexandria).

Results
- DFT formation energy (meV/atom) = -131
- space group = No. 216
- size of the total moment (μB/f.u.) = 2.891

Structure (CIF):
```
data_UInGaAu
_chemical_formula_sum 'U1 In1 Ga1 Au1'
_space_group_name_H-M_alt 'P 1'
_space_group_IT_number 1
_space_group_name_Hall 'P 1'
_cell_length_a 4.967
_cell_length_b 4.967
_cell_length_c 4.967
_cell_angle_alpha 60.00
_cell_angle_beta 60.00
_cell_angle_gamma 60.00
loop_
_atom_site_label
_atom_site_fract_x
_atom_site_fract_y
_atom_site_fract_z
U1 0.000 0.000 0.000
In1 0.500 0.500 0.500
Ga1 0.250 0.250 0.250
Au1 0.750 0.750 0.750
```